Entry 1:
DFT (PBE) results for a geometry-optimized CeMg6Zn2 structure.

Cell and atoms, written as extended XYZ:
```
9
Lattice="4.376 0.000 0.000 0.000 4.376 0.000 0.000 0.000 10.548" Properties=species:S:1:pos:R:3 pbc="T T T"
Ce 0.000 0.000 0.000
Mg 0.000 0.000 5.274
Mg 0.000 2.188 2.924
Mg 0.000 2.188 7.624
Mg 2.188 0.000 2.924
Mg 2.188 0.000 7.624
Mg 2.188 2.188 5.274
Zn 2.188 2.188 1.225
Zn 2.188 2.188 9.323
```

DOS at the Fermi energy in states/eV/cell: 11.216
Magnetization in Bohr magnetons per cell: 1.37
Space group: P4/mmm, No. 123
Formation energy from the elements in kJ/mol of formula units: -77
DFT total energy in eV per cell: -18.85

Entry 2:
DFT (PBE) results for a geometry-optimized CeMg9Zn3 structure.

Cell and atoms, written as extended XYZ:
```
13
Lattice="2.835 -6.972 0.000 2.835 6.972 0.000 -2.739 0.000 6.987" Properties=species:S:1:pos:R:3 pbc="T T T"
Ce 0.000 0.000 0.000
Mg -1.369 0.000 3.493
Mg 0.056 4.502 4.605
Mg 0.111 1.525 5.515
Mg 2.875 4.502 2.381
Mg 2.820 1.525 1.472
Mg 0.111 -1.525 5.515
Mg 0.056 -4.502 4.605
Mg 2.820 -1.525 1.472
Mg 2.875 -4.502 2.381
Zn 1.417 3.486 0.000
Zn 1.417 -3.486 0.000
Zn 1.465 0.000 3.493
```

DOS at the Fermi energy in states/eV/cell: 11.591
Magnetization in Bohr magnetons per cell: 1.01
Space group: C2/m, No. 12
Formation energy from the elements in kJ/mol of formula units: -111
DFT total energy in eV per cell: -25.26